[1]
# InMo GGA-PBE relaxed
# Fermi-level density of states   5.94 states/eV/cell
# Calculated formation energy   0.905 eV/atom
# Offset from the most stable computed form   691 meV per atom
data_InMo
_cell_length_a 4.7073
_cell_length_b 4.7073
_cell_length_c 4.7040
_cell_angle_alpha 90.00
_cell_angle_beta 90.00
_cell_angle_gamma 120.00
_symmetry_space_group_name_H-M 'P 63/m m c'
_symmetry_Int_Tables_number 194
_symmetry_space_group_name_Hall '-P 6c 2c'
loop_
_atom_site_label
_atom_site_type_symbol
_atom_site_fract_x
_atom_site_fract_y
_atom_site_fract_z
In1 In 0.3333 0.6667 0.2500
Mo1 Mo 0.0000 0.0000 0.0000


[2]
# RbReAs2Se GGA-PBE relaxed
# Energy relative to the elements, uncorrected   2.825 eV/atom
# Fermi-level density of states   8.55 states/eV/cell
# Offset from the most stable computed form   2715 meV per atom
data_RbReAs2Se
_cell_length_a 5.319
_cell_length_b 5.319
_cell_length_c 5.420
_cell_angle_alpha 90.00
_cell_angle_beta 90.00
_cell_angle_gamma 90.00
_symmetry_space_group_name_H-M 'P 4/m m m'
_symmetry_Int_Tables_number 123
_symmetry_space_group_name_Hall '-P 4 2'
loop_
_atom_site_label
_atom_site_type_symbol
_atom_site_fract_x
_atom_site_fract_y
_atom_site_fract_z
Rb1 Rb 0.000 0.000 0.000
Re1 Re 0.500 0.500 0.500
As1 As 0.000 0.500 0.000
Se1 Se 0.000 0.000 0.500


[3]
# Li2Co3 GGA-PBE relaxed
# Fermi-level density of states   10.83 states/eV/cell
# Calculated formation energy   0.101 eV/atom
data_Li2Co3
_cell_length_a 2.4835
_cell_length_b 2.4835
_cell_length_c 32.4945
_cell_angle_alpha 90.00
_cell_angle_beta 90.00
_cell_angle_gamma 120.00
_symmetry_space_group_name_H-M 'R -3 m'
_symmetry_Int_Tables_number 166
_symmetry_space_group_name_Hall '-R 3 2"'
loop_
_atom_site_label
_atom_site_type_symbol
_atom_site_fract_x
_atom_site_fract_y
_atom_site_fract_z
Li1 Li 0.0000 0.0000 0.0995
Co1 Co 0.0000 0.0000 0.3028
Co2 Co 0.0000 0.0000 0.5000


[4]
# Sm6ErSe8 GGA-PBE relaxed
# Energy relative to the elements, uncorrected   -1.863 eV/atom
# Fermi-level density of states   26.77 states/eV/cell
data_Sm6ErSe8
_cell_length_a 11.748
_cell_length_b 11.748
_cell_length_c 11.748
_cell_angle_alpha 90.00
_cell_angle_beta 90.00
_cell_angle_gamma 90.00
_symmetry_space_group_name_H-M 'F m -3 m'
_symmetry_Int_Tables_number 225
_symmetry_space_group_name_Hall '-F 4 2 3'
loop_
_atom_site_label
_atom_site_type_symbol
_atom_site_fract_x
_atom_site_fract_y
_atom_site_fract_z
Sm1 Sm 0.000 0.250 0.250
Er1 Er 0.000 0.000 0.000
Se1 Se 0.000 0.000 0.247
Se2 Se 0.250 0.250 0.250


[5]
# CeY2Tm GGA-PBE relaxed
# Fermi-level density of states   42.83 states/eV/cell
# Calculated formation energy   0.172 eV/atom
# Offset from the most stable computed form   109 meV per atom
data_CeY2Tm
_cell_length_a 8.007
_cell_length_b 8.007
_cell_length_c 8.007
_cell_angle_alpha 90.00
_cell_angle_beta 90.00
_cell_angle_gamma 90.00
_symmetry_space_group_name_H-M 'F m -3 m'
_symmetry_Int_Tables_number 225
_symmetry_space_group_name_Hall '-F 4 2 3'
loop_
_atom_site_label
_atom_site_type_symbol
_atom_site_fract_x
_atom_site_fract_y
_atom_site_fract_z
Ce1 Ce 0.000 0.000 0.000
Y1 Y 0.250 0.250 0.250
Tm1 Tm 0.000 0.000 0.500


[6]
# SiOs2Pt GGA-PBE relaxed
# Energy relative to the elements, uncorrected   0.311 eV/atom
# Fermi-level density of states   7.37 states/eV/cell
data_SiOs2Pt
_cell_length_a 5.297
_cell_length_b 9.545
_cell_length_c 2.720
_cell_angle_alpha 90.00
_cell_angle_beta 120.79
_cell_angle_gamma 90.00
_symmetry_space_group_name_H-M 'C 1 2/m 1'
_symmetry_Int_Tables_number 12
_symmetry_space_group_name_Hall '-C 2y'
loop_
_atom_site_label
_atom_site_type_symbol
_atom_site_fract_x
_atom_site_fract_y
_atom_site_fract_z
Si1 Si 0.000 0.000 0.000
Os1 Os 0.250 0.250 0.000
Pt1 Pt 0.000 0.500 0.000


[7]
# MoP2SBr GGA-PBE relaxed
# Energy relative to the elements, uncorrected   0.317 eV/atom
# Fermi-level density of states   2.96 states/eV/cell
# Offset from the most stable computed form   0 meV per atom
data_MoP2SBr
_cell_length_a 4.807
_cell_length_b 4.807
_cell_length_c 4.556
_cell_angle_alpha 90.00
_cell_angle_beta 90.00
_cell_angle_gamma 90.00
_symmetry_space_group_name_H-M 'P 4/m m m'
_symmetry_Int_Tables_number 123
_symmetry_space_group_name_Hall '-P 4 2'
loop_
_atom_site_label
_atom_site_type_symbol
_atom_site_fract_x
_atom_site_fract_y
_atom_site_fract_z
Mo1 Mo 0.000 0.000 0.000
P1 P 0.000 0.500 0.000
S1 S 0.000 0.000 0.500
Br1 Br 0.500 0.500 0.500


[8]
# MgScCd2 GGA-PBE relaxed
# Fermi-level density of states   5.49 states/eV/cell
# Calculated formation energy   -0.171 eV/atom
data_MgScCd2
_cell_length_a 4.767
_cell_length_b 3.240
_cell_length_c 11.513
_cell_angle_alpha 90.00
_cell_angle_beta 90.00
_cell_angle_gamma 90.00
_symmetry_space_group_name_H-M 'A m m 2'
_symmetry_Int_Tables_number 38
_symmetry_space_group_name_Hall 'A 2 -2'
loop_
_atom_site_label
_atom_site_type_symbol
_atom_site_fract_x
_atom_site_fract_y
_atom_site_fract_z
Mg1 Mg 0.000 0.000 0.000
Sc1 Sc 0.500 0.000 0.663
Cd1 Cd 0.000 0.000 0.256
Cd2 Cd 0.500 0.000 0.403


[9]
# Dy2Th2In3 GGA-PBE relaxed
# Fermi-level density of states   13.15 states/eV/cell
# Calculated formation energy   -0.308 eV/atom
data_Dy2Th2In3
_cell_length_a 3.578
_cell_length_b 4.422
_cell_length_c 24.910
_cell_angle_alpha 90.00
_cell_angle_beta 90.00
_cell_angle_gamma 90.00
_symmetry_space_group_name_H-M 'I m m m'
_symmetry_Int_Tables_number 71
_symmetry_space_group_name_Hall '-I 2 2'
loop_
_atom_site_label
_atom_site_type_symbol
_atom_site_fract_x
_atom_site_fract_y
_atom_site_fract_z
Dy1 Dy 0.000 0.000 0.069
Th1 Th 0.000 0.000 0.208
In1 In 0.000 0.000 0.364
In2 In 0.000 0.000 0.500


[10]
# KAu2 GGA-PBE relaxed
# Fermi-level density of states   2.54 states/eV/cell
# Calculated formation energy   -0.308 eV/atom
data_KAu2
_cell_length_a 5.7694
_cell_length_b 5.7694
_cell_length_c 9.8245
_cell_angle_alpha 90.00
_cell_angle_beta 90.00
_cell_angle_gamma 120.00
_symmetry_space_group_name_H-M 'P 63/m m c'
_symmetry_Int_Tables_number 194
_symmetry_space_group_name_Hall '-P 6c 2c'
loop_
_atom_site_label
_atom_site_type_symbol
_atom_site_fract_x
_atom_site_fract_y
_atom_site_fract_z
K1 K 0.3333 0.6667 0.0623
Au1 Au 0.0000 0.0000 0.0000
Au2 Au 0.1676 0.3351 0.7500


[11]
# Ce3Sm2HoTe6 GGA-PBE relaxed
# Energy relative to the elements, uncorrected   -1.363 eV/atom
# Fermi-level density of states   46.69 states/eV/cell
data_Ce3Sm2HoTe6
_cell_length_a 7.662
_cell_length_b 13.290
_cell_length_c 7.772
_cell_angle_alpha 90.00
_cell_angle_beta 109.21
_cell_angle_gamma 90.00
_symmetry_space_group_name_H-M 'C 1 2/m 1'
_symmetry_Int_Tables_number 12
_symmetry_space_group_name_Hall '-C 2y'
loop_
_atom_site_label
_atom_site_type_symbol
_atom_site_fract_x
_atom_site_fract_y
_atom_site_fract_z
Ce1 Ce 0.000 0.000 0.000
Ce2 Ce 0.000 0.330 0.000
Sm1 Sm 0.000 0.166 0.500
Ho1 Ho 0.000 0.500 0.500
Te1 Te 0.244 0.336 0.742
Te2 Te 0.245 0.500 0.254


[12]
# Hf4AlRe GGA-PBE relaxed
# Fermi-level density of states   4.97 states/eV/cell
# Calculated formation energy   -0.220 eV/atom
# Offset from the most stable computed form   0 meV per atom
data_Hf4AlRe
_cell_length_a 3.273
_cell_length_b 3.273
_cell_length_c 11.030
_cell_angle_alpha 90.00
_cell_angle_beta 90.00
_cell_angle_gamma 90.00
_symmetry_space_group_name_H-M 'P 4/m m m'
_symmetry_Int_Tables_number 123
_symmetry_space_group_name_Hall '-P 4 2'
loop_
_atom_site_label
_atom_site_type_symbol
_atom_site_fract_x
_atom_site_fract_y
_atom_site_fract_z
Hf1 Hf 0.000 0.000 0.145
Hf2 Hf 0.500 0.500 0.333
Al1 Al 0.000 0.000 0.500
Re1 Re 0.500 0.500 0.000


[13]
# ZrCr GGA-PBE relaxed
# Fermi-level density of states   38.95 states/eV/cell
# Calculated formation energy   0.492 eV/atom
data_ZrCr
_cell_length_a 6.342
_cell_length_b 8.848
_cell_length_c 10.385
_cell_angle_alpha 90.00
_cell_angle_beta 90.00
_cell_angle_gamma 90.00
_symmetry_space_group_name_H-M 'F d d d'
_symmetry_Int_Tables_number 70
loop_
_symmetry_equiv_pos_as_xyz
'x,y,z'
'-x,-y,-z'
'-x+1/4,-y+1/4,z'
'x+1/4,y+1/4,-z'
'x,-y+1/4,-z+1/4'
'-x,y+1/4,z+1/4'
'-x+1/4,y,-z+1/4'
'x+1/4,-y,z+1/4'
'x,y+1/2,z+1/2'
'-x,-y+1/2,-z+1/2'
'-x+1/4,-y+3/4,z+1/2'
'x+1/4,y+3/4,-z+1/2'
'x,-y+3/4,-z+3/4'
'-x,y+3/4,z+3/4'
'-x+1/4,y+1/2,-z+3/4'
'x+1/4,-y+1/2,z+3/4'
'x+1/2,y,z+1/2'
'-x+1/2,-y,-z+1/2'
'-x+3/4,-y+1/4,z+1/2'
'x+3/4,y+1/4,-z+1/2'
'x+1/2,-y+1/4,-z+3/4'
'-x+1/2,y+1/4,z+3/4'
'-x+3/4,y,-z+3/4'
'x+3/4,-y,z+3/4'
'x+1/2,y+1/2,z'
'-x+1/2,-y+1/2,-z'
'-x+3/4,-y+3/4,z'
'x+3/4,y+3/4,-z'
'x+1/2,-y+3/4,-z+1/4'
'-x+1/2,y+3/4,z+1/4'
'-x+3/4,y+1/2,-z+1/4'
'x+3/4,-y+1/2,z+1/4'
loop_
_atom_site_label
_atom_site_type_symbol
_atom_site_fract_x
_atom_site_fract_y
_atom_site_fract_z
Zr1 Zr 0.125 0.323 0.125
Cr1 Cr 0.031 0.375 0.875


[14]
# Mg2MnFe GGA-PBE relaxed
# Fermi-level density of states   9.11 states/eV/cell
# Calculated formation energy   0.355 eV/atom
# Offset from the most stable computed form   174 meV per atom
data_Mg2MnFe
_cell_length_a 2.8736
_cell_length_b 2.8736
_cell_length_c 27.7161
_cell_angle_alpha 90.00
_cell_angle_beta 90.00
_cell_angle_gamma 120.00
_symmetry_space_group_name_H-M 'R -3 m'
_symmetry_Int_Tables_number 166
_symmetry_space_group_name_Hall '-R 3 2"'
loop_
_atom_site_label
_atom_site_type_symbol
_atom_site_fract_x
_atom_site_fract_y
_atom_site_fract_z
Mg1 Mg 0.0000 0.0000 0.2471
Mn1 Mn 0.0000 0.0000 0.0000
Fe1 Fe 0.0000 0.0000 0.5000


[15]
# ScRh2Se GGA-PBE relaxed
# Energy relative to the elements, uncorrected   -0.608 eV/atom
# Fermi-level density of states   3.00 states/eV/cell
# Offset from the most stable computed form   35 meV per atom
data_ScRh2Se
_cell_length_a 4.082
_cell_length_b 4.082
_cell_length_c 3.830
_cell_angle_alpha 90.00
_cell_angle_beta 90.00
_cell_angle_gamma 90.00
_symmetry_space_group_name_H-M 'P 4/m m m'
_symmetry_Int_Tables_number 123
_symmetry_space_group_name_Hall '-P 4 2'
loop_
_atom_site_label
_atom_site_type_symbol
_atom_site_fract_x
_atom_site_fract_y
_atom_site_fract_z
Sc1 Sc 0.000 0.000 0.000
Rh1 Rh 0.000 0.500 0.500
Se1 Se 0.500 0.500 0.000


[16]
# RbCd3In9 GGA-PBE relaxed
# Fermi-level density of states   11.08 states/eV/cell
# Calculated formation energy   -0.017 eV/atom
data_RbCd3In9
_cell_length_a 6.056
_cell_length_b 15.866
_cell_length_c 8.142
_cell_angle_alpha 90.00
_cell_angle_beta 110.47
_cell_angle_gamma 90.00
_symmetry_space_group_name_H-M 'C 1 2/m 1'
_symmetry_Int_Tables_number 12
_symmetry_space_group_name_Hall '-C 2y'
loop_
_atom_site_label
_atom_site_type_symbol
_atom_site_fract_x
_atom_site_fract_y
_atom_site_fract_z
Rb1 Rb 0.000 0.000 0.000
Cd1 Cd 0.000 0.000 0.500
Cd2 Cd 0.250 0.250 0.000
In1 In 0.000 0.500 0.500
In2 In 0.112 0.391 0.214
In3 In 0.175 0.179 0.356


[17]
# NaCdBiTe3 GGA-PBE relaxed
# Energy relative to the elements, uncorrected   -0.462 eV/atom
data_NaCdBiTe3
_cell_length_a 9.158
_cell_length_b 4.511
_cell_length_c 10.382
_cell_angle_alpha 90.00
_cell_angle_beta 102.12
_cell_angle_gamma 90.00
_symmetry_space_group_name_H-M 'P 1 21/m 1'
_symmetry_Int_Tables_number 11
_symmetry_space_group_name_Hall '-P 2yb'
loop_
_atom_site_label
_atom_site_type_symbol
_atom_site_fract_x
_atom_site_fract_y
_atom_site_fract_z
Na1 Na 0.188 0.250 0.223
Cd1 Cd 0.086 0.250 0.602
Bi1 Bi 0.333 0.750 0.863
Te1 Te 0.094 0.250 0.877
Te2 Te 0.241 0.750 0.519
Te3 Te 0.427 0.750 0.158


[18]
# HoEr2Tm3 GGA-PBE relaxed
# Fermi-level density of states   38.88 states/eV/cell
# Calculated formation energy   0.122 eV/atom
data_HoEr2Tm3
_cell_length_a 17.426
_cell_length_b 3.448
_cell_length_c 13.908
_cell_angle_alpha 90.00
_cell_angle_beta 117.57
_cell_angle_gamma 90.00
_symmetry_space_group_name_H-M 'C 1 2/m 1'
_symmetry_Int_Tables_number 12
_symmetry_space_group_name_Hall '-C 2y'
loop_
_atom_site_label
_atom_site_type_symbol
_atom_site_fract_x
_atom_site_fract_y
_atom_site_fract_z
Ho1 Ho 0.061 0.000 0.144
Er1 Er 0.158 0.000 0.968
Er2 Er 0.181 0.500 0.384
Tm1 Tm 0.040 0.500 0.712
Tm2 Tm 0.099 0.000 0.525
Tm3 Tm 0.240 0.000 0.793


[19]
# Ac3Pa4N9 GGA-PBE relaxed
# Energy relative to the elements, uncorrected   -1.465 eV/atom
# Fermi-level density of states   14.11 states/eV/cell
data_Ac3Pa4N9
_cell_length_a 6.1721
_cell_length_b 6.1721
_cell_length_c 25.9466
_cell_angle_alpha 90.00
_cell_angle_beta 90.00
_cell_angle_gamma 120.00
_symmetry_space_group_name_H-M 'R 3'
_symmetry_Int_Tables_number 146
_symmetry_space_group_name_Hall 'R 3'
loop_
_atom_site_label
_atom_site_type_symbol
_atom_site_fract_x
_atom_site_fract_y
_atom_site_fract_z
Ac1 Ac 0.0000 0.0000 0.0000
Ac2 Ac 0.0000 0.0000 0.1614
Ac3 Ac 0.0000 0.0000 0.5744
Pa1 Pa 0.0000 0.0000 0.2981
Pa2 Pa 0.0000 0.0000 0.4260
Pa3 Pa 0.0000 0.0000 0.7356
Pa4 Pa 0.0000 0.0000 0.8644
N1 N 0.0164 0.5803 0.0241
N2 N 0.0825 0.3348 0.9144
N3 N 0.1029 0.7589 0.4741


[20]
# ScZn2SiIr GGA-PBE relaxed
# Energy relative to the elements, uncorrected   0.273 eV/atom
# Fermi-level density of states   2.89 states/eV/cell
# Offset from the most stable computed form   0 meV per atom
data_ScZn2SiIr
_cell_length_a 4.777
_cell_length_b 4.777
_cell_length_c 4.891
_cell_angle_alpha 90.00
_cell_angle_beta 90.00
_cell_angle_gamma 90.00
_symmetry_space_group_name_H-M 'P 4/m m m'
_symmetry_Int_Tables_number 123
_symmetry_space_group_name_Hall '-P 4 2'
loop_
_atom_site_label
_atom_site_type_symbol
_atom_site_fract_x
_atom_site_fract_y
_atom_site_fract_z
Sc1 Sc 0.000 0.000 0.000
Zn1 Zn 0.000 0.500 0.500
Si1 Si 0.500 0.500 0.000
Ir1 Ir 0.000 0.000 0.500


Record-wise size of the total moment values, in μB per formula unit: 0.000; 0.022; 4.510; 0.000; 1.499; 0.000; 0.000; 0.000; 0.000; 0.000; 3.491; 0.000; 0.000; 6.187; 0.000; 0.000; 0.000; 0.000; 0.001; 0.000